[1]
Cu2PdBr6 | GGA-PBE | optimized geometry

abc: 6.5491 6.5491 6.5757
angles: 90.00 90.00 120.00
Closest atoms and distances in Å follow each position.
Space group P-31m (No. 162)
Inequivalent atoms, fractional coordinates:
1 Cu 0.3333 0.6667 0.0000 x2  6 Br 2.64
2 Pd 0.0000 0.0000 0.0000 x1  6 Br 2.58
3 Br 0.0000 0.3261 0.7811 x6  1 Pd 2.58, 2 Cu 2.64

The total magnetization is 1.49 μB/f.u. For the total energy, the calculation gives -2.83 eV per atom. For the uncorrected formation energy, the calculation gives -5.23 kcal/mol of atoms. The energy above the lowest structure with this stoichiometry comes out at 19 meV per atom.

***

[2]
CuPd2Br | GGA-PBE | optimized geometry

abc: 6.3946 6.3946 6.3946
angles: 90.00 90.00 90.00
Closest atoms and distances in Å follow each position.
Space group Fm-3m (No. 225)
Inequivalent atoms, fractional coordinates:
1 Cu 0.0000 0.0000 0.0000 x4  8 Pd 2.77
2 Pd 0.2500 0.2500 0.2500 x8  4 Br 2.77, 4 Cu 2.77
3 Br 0.0000 0.0000 0.5000 x4  8 Pd 2.77

The total magnetization is 0.00 μB/f.u. For the total energy, the calculation gives -3.72 eV per atom. For the uncorrected formation energy, the calculation gives 7.28 kcal/mol of atoms. The energy above the lowest structure with this stoichiometry comes out at 28 meV per atom.

***

[3]
CuPdBr4 | GGA-PBE | optimized geometry

abc: 6.5723 4.2651 13.7914
angles: 90.00 112.24 90.00
Closest atoms and distances in Å follow each position.
Space group P2_1/c (No. 14)
Inequivalent atoms, fractional coordinates:
1 Cu 0.0000 0.0000 0.0000 x2  4 Br 2.46-2.48
2 Pd 0.5000 0.0000 0.5000 x2  4 Br 2.47-2.48
3 Br 0.2065 0.1437 0.8884 x4  1 Pd 2.48, 1 Cu 2.48
4 Br 0.2822 0.6270 0.1068 x4  1 Cu 2.46, 1 Pd 2.47

The total magnetization is 1.00 μB/f.u. For the total energy, the calculation gives -2.93 eV per atom. For the uncorrected formation energy, the calculation gives -6.07 kcal/mol of atoms. The energy above the lowest structure with this stoichiometry comes out at 22 meV per atom.

***

[4]
Cu2PdBr5 | GGA-PBE | optimized geometry

abc: 6.4546 6.5991 7.0527
angles: 62.59 83.68 61.63
Closest atoms and distances in Å follow each position.
Space group P1 (No. 1)
Inequivalent atoms, fractional coordinates:
1 Cu 0.0000 0.0000 0.0000 x1  3 Br 2.38-2.63
2 Cu 0.4129 0.5866 0.4601 x1  4 Br 2.43-2.49
3 Pd 0.3236 0.4846 0.0998 x1  4 Br 2.47-2.55
4 Br 0.0626 0.5615 0.3797 x1  2 Cu 2.49-2.77, 1 Pd 2.52
5 Br 0.2831 0.0288 0.1644 x1  2 Cu 2.39-2.45
6 Br 0.6012 0.4405 0.8183 x1  2 Cu 2.47-2.63, 1 Pd 2.55
7 Br 0.6820 0.2472 0.3644 x1  1 Cu 2.43, 1 Pd 2.47
8 Br 0.9704 0.7818 0.8212 x1  1 Cu 2.38, 1 Pd 2.47

The total magnetization is 0.00 μB/f.u. For the total energy, the calculation gives -2.96 eV per atom. For the uncorrected formation energy, the calculation gives -5.56 kcal/mol of atoms.

***

[5]
CuPdBr4 | GGA-PBE | optimized geometry

abc: 3.5446 6.8570 8.7043
angles: 85.43 89.97 75.20
Closest atoms and distances in Å follow each position.
Space group P-1 (No. 2)
Inequivalent atoms, fractional coordinates:
1 Cu 0.0000 0.0000 0.0000 x1  4 Br 2.42
2 Pd 0.5000 0.0000 0.5000 x1  4 Br 2.46
3 Br 0.1102 0.7767 0.6129 x2  2 Pd 2.46
4 Br 0.3834 0.2362 0.9221 x2  2 Cu 2.42

The total magnetization is 0.78 μB/f.u. For the total energy, the calculation gives -2.95 eV per atom. For the uncorrected formation energy, the calculation gives -6.58 kcal/mol of atoms. The energy above the lowest structure with this stoichiometry comes out at 0 meV per atom.

***

[6]
Cu2PdBr | GGA-PBE | optimized geometry

abc: 7.1493 7.1493 5.2643
angles: 90.00 90.00 90.00
Closest atoms and distances in Å follow each position.
Space group I-42d (No. 122)
Inequivalent atoms, fractional coordinates:
1 Cu 0.2464 0.2500 0.1250 x8  2 Br 2.59, 2 Pd 2.63, 2 Cu 2.63
2 Pd 0.0000 0.0000 0.5000 x4  4 Cu 2.63, 2 Br 2.63
3 Br 0.0000 0.0000 0.0000 x4  4 Cu 2.59, 2 Pd 2.63

The total magnetization is 0.00 μB/f.u. For the total energy, the calculation gives -3.41 eV per atom. For the uncorrected formation energy, the calculation gives 8.22 kcal/mol of atoms. The energy above the lowest structure with this stoichiometry comes out at 2 meV per atom.

***

[7]
CuPdBr2 | GGA-PBE | optimized geometry

abc: 5.9249 5.9249 11.3086
angles: 90.00 90.00 90.00
Closest atoms and distances in Å follow each position.
Space group I-42d (No. 122)
Inequivalent atoms, fractional coordinates:
1 Cu 0.0000 0.0000 0.0000 x4  4 Br 2.45
2 Pd 0.0000 0.0000 0.5000 x4  4 Br 2.61
3 Br 0.2276 0.2500 0.1250 x8  2 Cu 2.45, 2 Pd 2.61

The total magnetization is 0.00 μB/f.u. For the total energy, the calculation gives -3.19 eV per atom. For the uncorrected formation energy, the calculation gives -0.65 kcal/mol of atoms. The energy above the lowest structure with this stoichiometry comes out at 0 meV per atom.

***

[8]
CuPd2Br | GGA-PBE | optimized geometry

abc: 3.8782 3.8782 18.5510
angles: 90.00 90.00 90.00
Closest atoms and distances in Å follow each position.
Space group I-42d (No. 122)
Inequivalent atoms, fractional coordinates:
1 Cu 0.0000 0.0000 0.0000 x4  4 Pd 2.69, 4 Br 2.74
2 Pd 0.2459 0.2500 0.1250 x8  2 Cu 2.69, 2 Br 2.70, 4 Pd 2.72-2.76
3 Br 0.0000 0.0000 0.5000 x4  4 Pd 2.70, 4 Cu 2.74

The total magnetization is 0.00 μB/f.u. For the total energy, the calculation gives -3.75 eV per atom. For the uncorrected formation energy, the calculation gives 6.63 kcal/mol of atoms. The energy above the lowest structure with this stoichiometry comes out at 0 meV per atom.

***

[9]
CuPdBr3 | GGA-PBE | optimized geometry

abc: 5.1310 5.1310 5.1310
angles: 90.00 90.00 90.00
Closest atoms and distances in Å follow each position.
Space group Pm-3m (No. 221)
Inequivalent atoms, fractional coordinates:
1 Cu 0.0000 0.0000 0.0000 x1  12 Br 3.63
2 Pd 0.5000 0.5000 0.5000 x1  6 Br 2.57
3 Br 0.0000 0.5000 0.5000 x3  2 Pd 2.57

The total magnetization is 0.18 μB/f.u. For the total energy, the calculation gives -2.65 eV per atom. For the uncorrected formation energy, the calculation gives 4.98 kcal/mol of atoms. The energy above the lowest structure with this stoichiometry comes out at 466 meV per atom.

***

[10]
Cu3PdBr8 | GGA-PBE | optimized geometry

abc: 17.0005 7.0414 7.0032
angles: 90.00 112.81 90.00
Closest atoms and distances in Å follow each position.
Space group C2/m (No. 12)
Inequivalent atoms, fractional coordinates:
1 Cu 0.0000 0.0000 0.0000 x2  4 Br 2.43
2 Cu 0.2500 0.2500 0.0000 x4  4 Br 2.42
3 Pd 0.0000 0.5000 0.0000 x2  4 Br 2.45
4 Br 0.0194 0.2481 0.7813 x8  1 Cu 2.43, 1 Pd 2.45
5 Br 0.2466 0.0000 0.7597 x4  2 Cu 2.42
6 Br 0.2483 0.0000 0.2364 x4  2 Cu 2.42

The total magnetization is 0.58 μB/f.u. For the total energy, the calculation gives -2.86 eV per atom. For the uncorrected formation energy, the calculation gives -6.68 kcal/mol of atoms.